VASP calculation (GGA-PBE) on a relaxed structure of TePPt.

Computed properties:
**E_form (uncorrected)**: 0.098 eV/atom
**Polymorph energy (0 for the lowest one)**: 429 meV per atom
**N(E_F)**: 1.60 states/eV/f.u.
**VASP energy**: -28.59 eV/cell

Lattice parameters (Å, degrees): 3.0482 3.0482 14.3551 90.00 90.00 90.00
Closest atoms and distances in Å follow each position.
Fractional positions:
Te1 0.0000 0.0000 0.0000  4 Te 3.05
Te2 0.5000 0.5000 0.5000  4 Te 3.05
P1 0.0000 0.0000 0.2796  4 Pt 2.44
P2 0.5000 0.5000 0.7796  4 Pt 2.44
Pt1 0.0000 0.0000 0.6993  4 P 2.44
Pt2 0.5000 0.5000 0.1993  4 P 2.44

=====

VASP calculation (GGA-PBE) on a relaxed structure of K2CuCl4O2.

Computed properties:
**E_form (uncorrected)**: -0.644 eV/atom
**Polymorph energy (0 for the lowest one)**: 376 meV per atom
**N(E_F)**: 4.75 states/eV/f.u.
**VASP energy**: -58.77 eV/cell

Lattice parameters (Å, degrees): 7.1141 7.1141 8.3375 90.00 90.00 90.00
Closest atoms and distances in Å follow each position.
Fractional positions:
K1 0.0000 0.5000 0.2500  8 Cl 3.28, 4 O 3.57
K2 0.0000 0.5000 0.7500  8 Cl 3.28, 4 O 3.57
K3 0.5000 0.0000 0.2500  8 Cl 3.28, 4 O 3.57
K4 0.5000 0.0000 0.7500  8 Cl 3.28, 4 O 3.57
Cu1 0.0000 0.0000 0.0000  2 O 1.76
Cu2 0.5000 0.5000 0.5000  2 O 1.76
Cl1 0.2182 0.2182 0.5000  1 Cu 2.83
Cl2 0.2215 0.2215 0.0000  1 Cu 2.23
Cl3 0.2785 0.7215 0.5000  1 Cu 2.23
Cl4 0.2818 0.7182 0.0000  1 Cu 2.83
Cl5 0.7182 0.2818 0.0000  1 Cu 2.83
Cl6 0.7215 0.2785 0.5000  1 Cu 2.23
Cl7 0.7785 0.7785 0.0000  1 Cu 2.23
Cl8 0.7818 0.7818 0.5000  1 Cu 2.83
O1 0.0000 0.0000 0.2114  1 Cu 1.76
O2 0.0000 0.0000 0.7886  1 Cu 1.76
O3 0.5000 0.5000 0.2886  1 Cu 1.76
O4 0.5000 0.5000 0.7114  1 Cu 1.76

=====

VASP calculation (GGA-PBE) on a relaxed structure of Li2Cu3As2.

Computed properties:
**Energy relative to the elements**: -159 kJ/mol of formula units
**N(E_F)**: 2.00 states/eV/f.u.
**VASP energy**: -54.13 eV/cell

Lattice parameters (Å, degrees): 8.8499 3.9749 6.3627 90.00 110.09 90.00
Closest atoms and distances in Å follow each position.
Fractional positions:
Li1 0.1326 0.0000 0.2608  4 As 2.64-2.81, 5 Cu 2.82-2.93
Li2 0.3674 0.5000 0.7392  4 As 2.64-2.81, 5 Cu 2.82-2.93
Li3 0.6326 0.5000 0.2608  4 As 2.64-2.81, 5 Cu 2.82-2.93
Li4 0.8674 0.0000 0.7392  4 As 2.64-2.81, 5 Cu 2.82-2.93
Cu1 0.0000 0.5000 0.5000  4 As 2.55, 2 Cu 2.56
Cu2 0.1216 0.5000 0.9281  3 As 2.43-2.50, 2 Cu 2.56-2.61
Cu3 0.3784 0.0000 0.0719  3 As 2.43-2.50, 2 Cu 2.56-2.61
Cu4 0.5000 0.0000 0.5000  4 As 2.55, 2 Cu 2.56
Cu5 0.6216 0.0000 0.9281  3 As 2.43-2.50, 2 Cu 2.56-2.61
Cu6 0.8784 0.5000 0.0719  3 As 2.43-2.50, 2 Cu 2.56-2.61
As1 0.1595 0.0000 0.7142  5 Cu 2.43-2.55, 3 Li 2.64-2.68
As2 0.3405 0.5000 0.2858  5 Cu 2.43-2.55, 3 Li 2.64-2.68
As3 0.6595 0.5000 0.7142  5 Cu 2.43-2.55, 3 Li 2.64-2.68
As4 0.8405 0.0000 0.2858  5 Cu 2.43-2.55, 3 Li 2.64-2.68